No. 1
12
Lattice="6.327 0.000 0.000 3.163 5.479 0.000 3.163 1.826 10.641" Properties=species:S:1:pos:R:3 comment="RbSbP2Se8, relaxed, DFT PBE" raw_formation_energy_ev_per_atom=-0.176 e_tot_ev_per_atom=-3.82 pbc="T T T"
Rb 6.327 3.653 5.321
Sb 0.000 0.000 0.000
P 3.163 1.826 2.324
P 9.490 5.479 8.317
Se 3.163 1.826 4.486
Se 5.331 2.001 1.711
Se 9.490 5.479 6.155
Se 8.255 3.617 1.711
Se 4.398 3.689 8.931
Se 5.394 5.340 1.711
Se 7.260 1.965 8.931
Se 7.322 5.305 8.931

No. 2
5
Lattice="-1.985 2.316 -6.444 -2.630 -4.741 -0.894 -5.937 2.761 2.821" Properties=species:S:1:pos:R:3 comment="Rb2SnSbP, relaxed, DFT PBE" raw_formation_energy_ev_per_atom=0.480 e_tot_ev_per_atom=-2.61 pbc="T T T"
Sb -1.315 -2.371 -0.447
Sn 0.000 0.000 0.000
Rb -2.969 1.381 1.411
Rb -0.992 1.158 -3.222
P -5.276 0.168 -2.259